1.
A plane-wave DFT calculation with PBE was carried out for BaI2NCl after structural relaxation.

## Properties
As for the space group: P4/mmm (123). The uncorrected formation energy is 220 meV/atom. The value obtained for the energy above the most stable polymorph in this dataset is 0.000 eV per atom.

Structure (POSCAR):
```
BaI2NCl
1.0
-0.356 -6.506 -0.830
6.463 -0.490 1.064
-0.628 -0.427 3.617
I N Ba Cl
2 1 1 1
Direct
0.000 0.500 0.000
0.500 0.000 0.000
0.000 0.000 0.500
0.500 0.500 0.500
0.000 0.000 0.000
```

2.
A plane-wave DFT calculation with PBE was carried out for PmSm3Tl2 after structural relaxation.

## Properties
As for the energy of formation: -0.1725 eV/atom. As for the space group: C2/m (12). The value obtained for the energy above the most stable polymorph in this dataset is 0.100 eV per atom.

Structure (POSCAR):
```
PmSm3Tl2
1.0
5.447 0.000 0.000
-2.723 8.920 -0.850
0.000 -4.761 8.172
Pm Sm Tl
2 6 4
Direct
0.871 0.742 0.915
0.129 0.258 0.085
0.306 0.611 0.610
0.942 0.883 0.598
0.618 0.236 0.690
0.382 0.764 0.310
0.058 0.117 0.402
0.694 0.389 0.390
0.519 0.038 0.867
0.481 0.962 0.133
0.774 0.549 0.140
0.226 0.451 0.860
```

3.
A plane-wave DFT calculation with PBE was carried out for Sr3Si after structural relaxation.

## Properties
As for the space group: I4/mmm (139). The uncorrected formation energy is 22 meV/atom. The value obtained for the energy above the most stable polymorph in this dataset is 0.198 eV per atom.

Structure (POSCAR):
```
Sr3Si
1.0
-2.597 2.597 10.413
2.597 -2.597 10.413
2.597 2.597 -10.413
Sr Si
6 2
Direct
0.000 0.500 0.500
0.500 0.000 0.500
0.750 0.250 0.500
0.250 0.750 0.500
0.877 0.877 0.000
0.123 0.123 0.000
0.630 0.630 0.000
0.370 0.370 0.000
```

4.
A plane-wave DFT calculation with PBE was carried out for Nd2Sm2I7 after structural relaxation.

## Properties
As for the space group: C2/m (12). The uncorrected formation energy is -1010 meV/atom.

Structure (POSCAR):
```
Nd2Sm2I7
1.0
8.154 0.919 1.198
-0.665 8.135 -0.447
-0.665 -2.541 7.741
Nd Sm I
2 2 7
Direct
0.500 0.364 0.636
0.500 0.636 0.364
0.148 0.693 0.693
0.852 0.307 0.307
0.286 0.586 0.984
0.714 0.016 0.414
0.714 0.414 0.016
0.286 0.984 0.586
0.231 0.361 0.361
0.000 0.000 0.000
0.769 0.639 0.639
```

5.
A plane-wave DFT calculation with PBE was carried out for NaCrSeN2 after structural relaxation.

## Properties
As for the space group: P4/mmm (123). The uncorrected formation energy is 2455 meV/atom. The value obtained for the energy above the most stable polymorph in this dataset is 2.250 eV per atom.

Structure (POSCAR):
```
NaCrSeN2
1.0
4.139 0.000 0.000
0.000 4.139 0.000
0.000 0.000 5.360
Cr N Se Na
1 2 1 1
Direct
0.500 0.500 0.500
0.000 0.500 0.000
0.500 0.000 0.000
0.000 0.000 0.500
0.000 0.000 0.000
```

6.
A plane-wave DFT calculation with PBE was carried out for ZnIn3O after structural relaxation.

## Properties
As for the space group: Pm-3m (221). The uncorrected formation energy is 440 meV/atom.

Structure (POSCAR):
```
ZnIn3O
1.0
-1.528 -0.586 4.827
-4.631 -1.367 -1.632
1.482 -4.875 -0.122
Zn O In
1 1 3
Direct
0.000 0.000 0.000
0.500 0.500 0.500
0.000 0.500 0.000
0.000 0.000 0.500
0.500 0.000 0.000
```

7.
A plane-wave DFT calculation with PBE was carried out for InTc2As after structural relaxation.

## Properties
As for the energy of formation: 0.2960 eV/atom. As for the space group: Fm-3m (225). The value obtained for the energy above the most stable polymorph in this dataset is 0.262 eV per atom.

Structure (POSCAR):
```
InTc2As
1.0
3.487 -2.538 1.249
2.624 1.307 3.401
-0.118 -2.213 3.905
As Tc In
1 2 1
Direct
0.000 0.000 0.000
0.250 0.250 0.250
0.750 0.750 0.750
0.500 0.500 0.500
```

8.
A plane-wave DFT calculation with PBE was carried out for CaHgAu2 after structural relaxation.

## Properties
As for the energy of formation: -0.3726 eV/atom. As for the space group: R3m (160).

Structure (POSCAR):
```
CaHgAu2
1.0
4.388 0.000 0.000
2.194 3.800 0.000
2.194 1.267 6.396
Ca Hg Au
1 1 2
Direct
0.670 0.670 0.991
0.496 0.496 0.512
0.089 0.089 0.733
0.245 0.245 0.264
```